No. 1
# K9Au3O2F (PBE, optimized geometry)
# Raw formation energy = -0.9176 eV/atom
# Symmetry = P-3m1
data_K9Au3O2F
_symmetry_space_group_name_H-M 'P 1'
_symmetry_Int_Tables_number 1
_cell_length_a 7.525
_cell_length_b 7.525
_cell_length_c 9.225
_cell_angle_alpha 90.00
_cell_angle_beta 90.00
_cell_angle_gamma 120.00
loop_
_symmetry_equiv_pos_as_xyz
'x,y,z'
loop_
_atom_site_label
_atom_site_fract_x
_atom_site_fract_y
_atom_site_fract_z
_atom_site_occupancy
K1 0.829 0.171 0.673 1
K2 0.829 0.659 0.673 1
K3 0.341 0.171 0.673 1
K4 0.659 0.829 0.327 1
K5 0.171 0.341 0.327 1
K6 0.171 0.829 0.327 1
K7 0.500 0.000 0.000 1
K8 0.000 0.500 0.000 1
K9 0.500 0.500 0.000 1
Au1 0.333 0.667 0.658 1
Au2 0.000 0.000 0.000 1
Au3 0.667 0.333 0.342 1
O1 0.333 0.667 0.170 1
O2 0.667 0.333 0.830 1
F1 0.000 0.000 0.500 1

---

No. 2
# LiPm2Hg5 (PBE, optimized geometry)
# Energy relative to the elements = -0.33 eV per atom
# Symmetry = I4/mmm
data_LiPm2Hg5
_symmetry_space_group_name_H-M 'P 1'
_symmetry_Int_Tables_number 1
_cell_length_a 5.186
_cell_length_b 5.186
_cell_length_c 8.220
_cell_angle_alpha 108.39
_cell_angle_beta 108.39
_cell_angle_gamma 90.00
loop_
_symmetry_equiv_pos_as_xyz
'x,y,z'
loop_
_atom_site_label
_atom_site_fract_x
_atom_site_fract_y
_atom_site_fract_z
_atom_site_occupancy
Li1 0.000 0.000 0.000 1
Pm1 0.740 0.740 0.481 1
Pm2 0.260 0.260 0.519 1
Hg1 0.500 0.500 0.000 1
Hg2 0.884 0.384 0.768 1
Hg3 0.384 0.884 0.768 1
Hg4 0.116 0.616 0.232 1
Hg5 0.616 0.116 0.232 1

---

No. 3
# LiHg2Pd2O6 (PBE, optimized geometry)
# Raw formation energy = -0.5180 eV/atom
# Symmetry = C2/m
data_LiHg2Pd2O6
_symmetry_space_group_name_H-M 'P 1'
_symmetry_Int_Tables_number 1
_cell_length_a 5.424
_cell_length_b 5.424
_cell_length_c 6.179
_cell_angle_alpha 85.75
_cell_angle_beta 85.75
_cell_angle_gamma 120.13
loop_
_symmetry_equiv_pos_as_xyz
'x,y,z'
loop_
_atom_site_label
_atom_site_fract_x
_atom_site_fract_y
_atom_site_fract_z
_atom_site_occupancy
Li1 0.000 0.000 0.500 1
Hg1 0.838 0.162 0.000 1
Hg2 0.162 0.838 0.000 1
Pd1 0.340 0.660 0.500 1
Pd2 0.660 0.340 0.500 1
O1 0.621 0.621 0.672 1
O2 0.965 0.309 0.668 1
O3 0.379 0.379 0.328 1
O4 0.309 0.965 0.668 1
O5 0.035 0.691 0.332 1
O6 0.691 0.035 0.332 1

---

No. 4
# GePt2W2 (PBE, optimized geometry)
# Energy relative to the elements = 0.38 eV per atom
# Excess energy over the best structure of this formula in the dataset = 203 meV per atom
# Symmetry = I4/mmm
data_GePt2W2
_symmetry_space_group_name_H-M 'P 1'
_symmetry_Int_Tables_number 1
_cell_length_a 3.653
_cell_length_b 3.653
_cell_length_c 7.046
_cell_angle_alpha 74.98
_cell_angle_beta 74.98
_cell_angle_gamma 90.00
loop_
_symmetry_equiv_pos_as_xyz
'x,y,z'
loop_
_atom_site_label
_atom_site_fract_x
_atom_site_fract_y
_atom_site_fract_z
_atom_site_occupancy
Ge1 0.000 0.000 0.000 1
W1 0.401 0.401 0.197 1
W2 0.599 0.599 0.803 1
Pt1 0.750 0.250 0.500 1
Pt2 0.250 0.750 0.500 1

---

No. 5
# Sm2PdO4 (PBE, optimized geometry)
# Raw formation energy = -2.5833 eV/atom
# Excess energy over the best structure of this formula in the dataset = 0 meV per atom
# Symmetry = Cmce
data_Sm2PdO4
_symmetry_space_group_name_H-M 'P 1'
_symmetry_Int_Tables_number 1
_cell_length_a 5.677
_cell_length_b 5.680
_cell_length_c 6.858
_cell_angle_alpha 114.47
_cell_angle_beta 90.00
_cell_angle_gamma 90.00
loop_
_symmetry_equiv_pos_as_xyz
'x,y,z'
loop_
_atom_site_label
_atom_site_fract_x
_atom_site_fract_y
_atom_site_fract_z
_atom_site_occupancy
Sm1 0.000 0.657 0.314 1
Sm2 0.000 0.343 0.686 1
Sm3 0.500 0.843 0.686 1
Sm4 0.500 0.157 0.314 1
Pd1 0.000 0.000 0.000 1
Pd2 0.500 0.500 0.000 1
O1 0.817 0.683 0.000 1
O2 0.750 0.510 0.500 1
O3 0.750 0.010 0.500 1
O4 0.683 0.183 0.000 1
O5 0.317 0.817 0.000 1
O6 0.250 0.990 0.500 1
O7 0.250 0.490 0.500 1
O8 0.183 0.317 0.000 1

---

No. 6
# PmNiSnH (PBE, optimized geometry)
# Symmetry = F-43m
# Energy = -4.67 eV/atom
data_PmNiSnH
_symmetry_space_group_name_H-M 'P 1'
_symmetry_Int_Tables_number 1
_cell_length_a 4.594
_cell_length_b 4.594
_cell_length_c 4.594
_cell_angle_alpha 60.00
_cell_angle_beta 60.00
_cell_angle_gamma 60.00
loop_
_symmetry_equiv_pos_as_xyz
'x,y,z'
loop_
_atom_site_label
_atom_site_fract_x
_atom_site_fract_y
_atom_site_fract_z
_atom_site_occupancy
Ni1 0.500 0.500 0.500 1
Sn1 0.250 0.250 0.250 1
H1 0.000 0.000 0.000 1
Pm1 0.750 0.750 0.750 1

---

Which formula does entry 2 have?
LiPm2Hg5